Ce3PuTh: optimized geometry, PBE.

Unit cell a=6.016 b=4.834 c=4.834 alpha=90.00 beta=90.13 gamma=90.13
Fractional coordinates of all 5 atoms:
Ce 0.464 0.013 0.513
Pu 0.618 0.514 0.514
Ce 0.464 0.513 0.013
Th 0.902 0.012 0.012
Ce 0.039 0.512 0.512

Calculated values
* E: -7.745 eV per atom
* density of states at the Fermi level: 2.641 states/eV per atom
* formation energy: 15.9 kJ/mol of atoms